Ag2MoRh, optimized geometry, DFT PBE-GGA; volume = 64.7 Å³/cell; energy of formation = 365.9 meV/atom; space-group type = P2/m, No. 10; relative energy among the computed polymorphs = 248 meV per atom; magnetic moment = 0.0 μB per cell
1.0
2.7872 0.0000 0.0000
0.0000 4.7607 0.0146
0.0000 3.1520 4.8893
Mo Ag Rh
1 2 1
Direct
0.5000 0.5000 0.5000
0.0000 0.0000 0.0000
0.5000 0.5000 0.0000
0.0000 0.0000 0.5000